{
  "formula": "NiIO2F",
  "functional": "SCAN",
  "state": "PBEsol geometry",
  "cell": [[-1.0328, -3.1009, -1.3195], [2.8892, -1.5251, 1.3227], [-3.3351, -1.3344, 5.7463]],
  "species": ["Ni", "O", "O", "I", "F"],
  "fractional_positions": [[0.0000, 0.0000, 0.0000], [0.5000, 0.0000, 0.0000], [0.0000, 0.5000, 0.0000], [0.0000, 0.0000, 0.5000], [0.5000, 0.5000, 0.5000]],
  "formation_energy_uncorrected_kj_per_mol_fu": -109,
  "e_tot_ev_per_cell": -70.05,
  "volume_a3_per_atom": 16.84
}


{
  "formula": "AlBrCl2",
  "functional": "SCAN",
  "state": "PBEsol geometry",
  "cell": [[-1.1060, 1.2635, 2.9143], [4.7407, -3.0809, 3.1350], [0.3102, 5.9035, -2.4419]],
  "species": ["Cl", "Cl", "Br", "Al"],
  "fractional_positions": [[0.5000, 0.6517, 0.3894], [0.0000, 0.0658, 0.0377], [0.5000, 0.3676, 0.6618], [0.0000, 0.4150, 0.4111]],
  "formation_energy_uncorrected_kj_per_mol_fu": -557,
  "e_tot_ev_per_cell": -48.94,
  "de_polymorph_ev_per_atom": 0.0000,
  "volume_a3_per_atom": 28.09
}


{
  "formula": "AsOsRh2",
  "functional": "SCAN",
  "state": "PBEsol geometry",
  "cell": [[2.7548, 0.0000, 0.0000], [0.0000, 4.6572, -0.0004], [0.0000, -1.6191, 4.3667]],
  "species": ["Rh", "Rh", "Os", "As"],
  "fractional_positions": [[0.0000, 0.0000, 0.5000], [0.0000, 0.5000, 0.0000], [0.5000, 0.5000, 0.5000], [0.5000, 0.0000, 0.0000]],
  "e_tot_ev_per_cell": -159.19,
  "formation_enthalpy_0k_ev_per_atom": 0.11,
  "volume_a3_per_atom": 14.00
}


{
  "formula": "Al3GeW2",
  "functional": "SCAN",
  "state": "PBEsol geometry",
  "cell": [[-3.1668, -3.4712, -1.0671], [-1.4400, -3.0841, 3.4239], [-9.9482, 8.3020, 3.1678]],
  "species": ["Al", "Al", "Al", "Al", "Al", "Al", "Al", "Al", "Al", "Ge", "Ge", "Ge", "W", "W", "W", "W", "W", "W"],
  "fractional_positions": [[0.8314, 0.3572, 0.9182], [0.8263, 0.8238, 0.7486], [0.7866, 0.8138, 0.2497], [0.7059, 0.1494, 0.5832], [0.3917, 0.8143, 0.0836], [0.1223, 0.1423, 0.2489], [0.7270, 0.1407, 0.0847], [0.3700, 0.8141, 0.5837], [0.8011, 0.3718, 0.4161], [0.1537, 0.1540, 0.7483], [0.1317, 0.7122, 0.4163], [0.1592, 0.6992, 0.9186], [0.4547, 0.4768, 0.2500], [0.0386, 0.4816, 0.5825], [0.4913, 0.0369, 0.9137], [0.4618, 0.0509, 0.4170], [0.0598, 0.4766, 0.0839], [0.4870, 0.4843, 0.7530]],
  "e_tot_ev_per_cell": -546.91,
  "formation_enthalpy_0k_ev_per_atom": -0.10,
  "volume_a3_per_atom": 14.94
}


{
  "formula": "IrRuRh",
  "functional": "SCAN",
  "state": "PBEsol geometry",
  "cell": [[2.6796, 0.0000, 0.0000], [0.0000, 2.6796, 0.0000], [-1.3398, -1.3398, 5.6846]],
  "species": ["Rh", "Ir", "Ru"],
  "fractional_positions": [[0.6691, 0.6691, 0.3383], [0.9963, 0.9963, 0.9927], [0.3345, 0.3345, 0.6691]],
  "e_tot_ev_per_cell": -139.80,
  "formation_enthalpy_0k_ev_per_atom": -0.03,
  "de_polymorph_ev_per_atom": 0.0074,
  "volume_a3_per_atom": 13.61
}


{
  "formula": "Sr2TaAl",
  "functional": "SCAN",
  "state": "PBEsol geometry",
  "cell": [[5.2617, 0.0000, 0.0000], [2.6309, 4.5568, 0.0000], [2.6309, 1.5189, 4.2962]],
  "species": ["Sr", "Sr", "Al", "Ta"],
  "fractional_positions": [[0.2500, 0.2500, 0.2500], [0.0000, 0.0000, 0.0000], [0.5000, 0.5000, 0.5000], [0.7500, 0.7500, 0.7500]],
  "e_tot_ev_per_cell": -115.81,
  "formation_enthalpy_0k_ev_per_atom": 0.77,
  "volume_a3_per_atom": 25.75
}